A plane-wave DFT calculation with PBE-GGA was carried out for crystalline GaBr2 at its relaxed geometry.

Cell and atoms, written as POSCAR:
```
GaBr2
1.0
7.8250 0.0000 0.0000
0.0000 10.5218 0.0000
0.0000 0.0000 10.6021
Ga Br
8 16
direct
0.0990 0.2500 0.2500 Ga
0.2500 0.0000 0.6870 Ga
0.2500 0.5000 0.8130 Ga
0.4010 0.7500 0.2500 Ga
0.5990 0.2500 0.7500 Ga
0.7500 0.0000 0.3130 Ga
0.7500 0.5000 0.1870 Ga
0.9010 0.7500 0.7500 Ga
0.0043 0.0330 0.8126 Br
0.0043 0.4670 0.6874 Br
0.1811 0.6801 0.9383 Br
0.1811 0.8199 0.5617 Br
0.3189 0.1801 0.5617 Br
0.3189 0.3199 0.9383 Br
0.4957 0.5330 0.6874 Br
0.4957 0.9670 0.8126 Br
0.5043 0.0330 0.1874 Br
0.5043 0.4670 0.3126 Br
0.6811 0.6801 0.0617 Br
0.6811 0.8199 0.4383 Br
0.8189 0.1801 0.4383 Br
0.8189 0.3199 0.0617 Br
0.9957 0.5330 0.3126 Br
0.9957 0.9670 0.1874 Br
```

Results
Energy above the lowest structure with this stoichiometry ... 4.4 meV per atom
Fermi-level density of states ... 0.00 states/eV/cell
Raw formation energy ... -0.752 eV per atom